(1)
# Ac4Tl2In5 (PBE, optimized geometry)
# **D(E_F)**: 0.77 states/eV/atom
# **Energy of formation from the pure elements**: -0.334 eV per atom
data_Ac4Tl2In5
_chemical_formula_sum 'Ac4 Tl2 In5'
_cell_length_a 8.564
_cell_length_b 3.945
_cell_length_c 10.752
_cell_angle_alpha 90.00
_cell_angle_beta 95.01
_cell_angle_gamma 90.00
_space_group_name_H-M_alt 'P 1 2/m 1'
_space_group_IT_number 10
loop_
_space_group_symop_operation_xyz
'x,y,z'
'-x,-y,-z'
'-x,y,-z'
'x,-y,z'
loop_
_atom_site_label
_atom_site_fract_x
_atom_site_fract_y
_atom_site_fract_z
Ac1 0.182 0.000 0.390
Ac2 0.275 0.000 0.937
Tl1 0.065 0.500 0.138
In1 0.188 0.500 0.661
In2 0.449 0.500 0.208
In3 0.500 0.500 0.500

---

(2)
# Ac4TlIn (PBE, optimized geometry)
# **D(E_F)**: 1.52 states/eV/atom
# **Energy of formation from the pure elements**: -0.106 eV per atom
data_Ac4TlIn
_chemical_formula_sum 'Ac8 Tl2 In2'
_cell_length_a 9.775
_cell_length_b 5.647
_cell_length_c 9.809
_cell_angle_alpha 90.00
_cell_angle_beta 109.45
_cell_angle_gamma 90.00
_space_group_name_H-M_alt 'C 1 2/m 1'
_space_group_IT_number 12
loop_
_space_group_symop_operation_xyz
'x,y,z'
'-x,-y,-z'
'-x,y,-z'
'x,-y,z'
'x+1/2,y+1/2,z'
'-x+1/2,-y+1/2,-z'
'-x+1/2,y+1/2,-z'
'x+1/2,-y+1/2,z'
loop_
_atom_site_label
_atom_site_fract_x
_atom_site_fract_y
_atom_site_fract_z
Ac1 0.124 0.000 0.373
Ac2 0.125 0.500 0.876
Tl1 0.000 0.500 0.500
In1 0.000 0.000 0.000

---

(3)
# Ac8TlIn5 (PBE, optimized geometry)
# **D(E_F)**: 1.18 states/eV/atom
# **Energy of formation from the pure elements**: -0.304 eV per atom
data_Ac8TlIn5
_chemical_formula_sum 'Ac16 Tl2 In10'
_cell_length_a 10.185
_cell_length_b 10.185
_cell_length_c 10.211
_cell_angle_alpha 90.00
_cell_angle_beta 90.00
_cell_angle_gamma 90.00
_space_group_name_H-M_alt 'I -4'
_space_group_IT_number 82
loop_
_space_group_symop_operation_xyz
'x,y,z'
'y,-x,-z'
'-x,-y,z'
'-y,x,-z'
'x+1/2,y+1/2,z+1/2'
'y+1/2,-x+1/2,-z+1/2'
'-x+1/2,-y+1/2,z+1/2'
'-y+1/2,x+1/2,-z+1/2'
loop_
_atom_site_label
_atom_site_fract_x
_atom_site_fract_y
_atom_site_fract_z
Ac1 0.074 0.176 0.198
Ac2 0.075 0.325 0.550
Tl1 0.000 0.000 0.500
In1 0.000 0.500 0.250
In2 0.125 0.251 0.875

---

(4)
# Ac4Tl5In2 (PBE, optimized geometry)
# **D(E_F)**: 0.79 states/eV/atom
# **Energy of formation from the pure elements**: -0.331 eV per atom
data_Ac4Tl5In2
_chemical_formula_sum 'Ac4 Tl5 In2'
_cell_length_a 8.907
_cell_length_b 4.115
_cell_length_c 10.232
_cell_angle_alpha 90.00
_cell_angle_beta 91.88
_cell_angle_gamma 90.00
_space_group_name_H-M_alt 'P 1 2/m 1'
_space_group_IT_number 10
loop_
_space_group_symop_operation_xyz
'x,y,z'
'-x,-y,-z'
'-x,y,-z'
'x,-y,z'
loop_
_atom_site_label
_atom_site_fract_x
_atom_site_fract_y
_atom_site_fract_z
Ac1 0.221 0.000 0.136
Ac2 0.253 0.000 0.627
Tl1 0.119 0.500 0.876
Tl2 0.429 0.500 0.355
Tl3 0.500 0.500 0.000
In1 0.083 0.500 0.379

---

(5)
# Ac3Tl2In4 (PBE, optimized geometry)
# **D(E_F)**: 0.47 states/eV/atom
# **Energy of formation from the pure elements**: -0.397 eV per atom
data_Ac3Tl2In4
_chemical_formula_sum 'Ac6 Tl4 In8'
_cell_length_a 12.662
_cell_length_b 4.927
_cell_length_c 9.736
_cell_angle_alpha 90.00
_cell_angle_beta 103.76
_cell_angle_gamma 90.00
_space_group_name_H-M_alt 'C 1 2/m 1'
_space_group_IT_number 12
loop_
_space_group_symop_operation_xyz
'x,y,z'
'-x,-y,-z'
'-x,y,-z'
'x,-y,z'
'x+1/2,y+1/2,z'
'-x+1/2,-y+1/2,-z'
'-x+1/2,y+1/2,-z'
'x+1/2,-y+1/2,z'
loop_
_atom_site_label
_atom_site_fract_x
_atom_site_fract_y
_atom_site_fract_z
Ac1 0.000 0.000 0.000
Ac2 0.164 0.500 0.670
Tl1 0.144 0.500 0.311
In1 0.032 0.000 0.366
In2 0.201 0.500 0.035

---

(6)
# Ac6Tl3In2 (PBE, optimized geometry)
# **D(E_F)**: 1.23 states/eV/atom
# **Energy of formation from the pure elements**: -0.029 eV per atom
data_Ac6Tl3In2
_chemical_formula_sum 'Ac12 Tl6 In4'
_cell_length_a 6.386
_cell_length_b 6.386
_cell_length_c 22.693
_cell_angle_alpha 90.00
_cell_angle_beta 90.00
_cell_angle_gamma 90.00
_space_group_name_H-M_alt 'I 4/m m m'
_space_group_IT_number 139
_space_group_name_Hall '-I 4 2'
loop_
_atom_site_label
_atom_site_fract_x
_atom_site_fract_y
_atom_site_fract_z
Ac1 0.000 0.000 0.208
Ac2 0.000 0.500 0.088
Tl1 0.000 0.000 0.350
Tl2 0.000 0.000 0.500
In1 0.000 0.000 0.061